The following is a PBE-GGA calculation of Hg3Se2I2 after structural relaxation, from Alexandria via LeMat-Bulk.

Formation energy without anion corrections in meV per atom: -195
Space group: No. 14
Total energy in eV per atom: -1.7631
E above lowest polymorph in meV/atom: 64
M_tot in μB per cell: 0.000

Unit cell a=8.9571 b=7.4006 c=8.8052 alpha=90.00 beta=114.54 gamma=90.00
Last column: nearest neighbours and their distance in Å.
Fractional positions:
Hg  0.0000  0.0000  0.0000  2 I 2.71
Hg  0.0000  0.5000  0.5000  2 I 2.71
Hg  0.4889  0.0775  0.7647  2 Se 2.51-2.52
Hg  0.4889  0.4225  0.2647  2 Se 2.51-2.52
Hg  0.5111  0.5775  0.7353  2 Se 2.51-2.52
Hg  0.5111  0.9225  0.2353  2 Se 2.51-2.52
Se  0.3470  0.1795  0.0557  2 Hg 2.51-2.52
Se  0.3470  0.3205  0.5557  2 Hg 2.51-2.52
Se  0.6530  0.6795  0.4443  2 Hg 2.51-2.52
Se  0.6530  0.8205  0.9443  2 Hg 2.51-2.52
I  0.1293  0.7057  0.9172  1 Hg 2.71
I  0.1293  0.7943  0.4172  1 Hg 2.71
I  0.8707  0.2057  0.5828  1 Hg 2.71
I  0.8707  0.2943  0.0828  1 Hg 2.71